Computed, not measured: crystalline Na3Tl3Cd8 at its relaxed geometry at the PBE level of DFT.

Cell: 5.107 10.928 13.163 Å, 90.00 90.00 90.00°
Space group Immm (No. 71)
Unique sites:
Na 0.000 0.000 0.000 [2 per cell]
Na 0.000 0.300 0.000 [4 per cell]
Tl 0.000 0.000 0.500 [2 per cell]
Tl 0.000 0.500 0.182 [4 per cell]
Cd 0.000 0.153 0.229 [8 per cell]
Cd 0.000 0.347 0.392 [8 per cell]

Values from the calculation:
Raw total energy ... -1.350 eV per atom
Calculated density ... 7.15 Mg/m³
Energy relative to the elements ... -37.4 meV per atom

***

Computed, not measured: crystalline Mg3PH2Pd6 at its relaxed geometry at the PBE level of DFT.

Cell: 5.7021 5.7021 7.1729 Å, 90.00 90.00 120.00°
Space group P-3m1 (No. 164)
Unique sites:
Mg 0.0000 0.0000 0.0000 [1 per cell]
Mg 0.3333 0.6667 0.6545 [2 per cell]
P 0.0000 0.0000 0.5000 [1 per cell]
H 0.3333 0.6667 0.1547 [2 per cell]
Pd 0.1735 0.3469 0.2935 [6 per cell]

Values from the calculation:
Raw total energy ... -4.417 eV per atom
Calculated density ... 6.12 Mg/m³

***

Computed, not measured: crystalline La9Pr2Sm3 at its relaxed geometry at the PBE level of DFT.

Cell: 9.1575 9.1575 14.0486 Å, 90.00 90.00 120.00°
Space group P6_3/m (No. 176)
Unique sites:
La 0.0793 0.5391 0.2500 [6 per cell]
La 0.1297 0.7572 0.0416 [12 per cell]
Pr 0.3333 0.6667 0.6343 [4 per cell]
Sm 0.1103 0.8606 0.7500 [6 per cell]

Values from the calculation:
Raw total energy ... -4.661 eV per atom
Calculated density ... 6.45 Mg/m³
Energy relative to the elements ... 200.9 meV per atom